1.
# Be4In5

An optimized crystal structure of Be4In5 (PBE, Alexandria via LeMat-Bulk).

```
data_Be4In5
_chemical_formula_sum 'Be8 In10'
_space_group_name_H-M_alt 'P 63/m c m'
_space_group_IT_number 193
_space_group_name_Hall '-P 6c 2'
_cell_length_a 7.3864
_cell_length_b 7.3864
_cell_length_c 7.3982
_cell_angle_alpha 90.00
_cell_angle_beta 90.00
_cell_angle_gamma 120.00
loop_
_atom_site_label
_atom_site_type_symbol
_atom_site_fract_x
_atom_site_fract_y
_atom_site_fract_z
_atom_site_occupancy
Be1 Be 0.0000 0.0000 0.0000 1
Be2 Be 0.0000 0.3725 0.2500 1
In1 In 0.0000 0.2809 0.7500 1
In2 In 0.3333 0.6667 0.0000 1
```

Values from the calculation:
* energy of formation from the pure elements: 0.601 eV/atom
* total moment: 0.000 μB per cell
* Fermi-level density of states: 0.628 states/eV per atom

2.
# La2SeBr

An optimized crystal structure of La2SeBr (PBE, Alexandria via LeMat-Bulk).

```
data_La2SeBr
_chemical_formula_sum 'La4 Se2 Br2'
_space_group_name_H-M_alt 'C 1 m 1'
_space_group_IT_number 8
_space_group_name_Hall 'C -2y'
_cell_length_a 7.301
_cell_length_b 4.217
_cell_length_c 8.502
_cell_angle_alpha 90.00
_cell_angle_beta 90.14
_cell_angle_gamma 90.00
loop_
_atom_site_label
_atom_site_type_symbol
_atom_site_fract_x
_atom_site_fract_y
_atom_site_fract_z
_atom_site_occupancy
La1 La 0.000 0.000 0.000 1
La2 La 0.166 0.500 0.604 1
Se1 Se 0.333 0.000 0.802 1
Br1 Br 0.167 0.500 0.238 1
```

Values from the calculation:
* relative energy among the computed polymorphs: 63 meV per atom
* total moment: 0.001 μB per cell
* Fermi-level density of states: 0.578 states/eV per atom